# 1
Below is a relaxed structure of Li3Nb2Ga3O12, with properties calculated at the PBE-GGA level.

Output
- E: -126.6 eV per formula unit

a = 11.7086 Å, b = 11.7086 Å, c = 11.7086 Å
α = 90.00°, β = 90.00°, γ = 90.00°
Last column: nearest neighbours and their distance in Å.
Space group Ia-3d (No. 230)
Inequivalent atoms, fractional coordinates:
Li: 0.0000 0.2500 0.3750 (multiplicity 24)  4 O 1.84
Nb: 0.0000 0.0000 0.0000 (multiplicity 16)  6 O 2.01
Ga: 0.0000 0.2500 0.1250 (multiplicity 24)  8 O 2.09-2.33
O: 0.0303 0.0760 0.6508 (multiplicity 96)  1 Li 1.84, 1 Nb 2.01

***

# 2
Below is a relaxed structure of LiNbGaOs, with properties calculated at the PBE-GGA level.

Output
- Polymorph energy (0 for the lowest one): 0 meV/atom

a = 6.1764 Å, b = 6.1764 Å, c = 6.1764 Å
α = 90.00°, β = 90.00°, γ = 90.00°
Last column: nearest neighbours and their distance in Å.
Space group F-43m (No. 216)
Inequivalent atoms, fractional coordinates:
Li: 0.0000 0.0000 0.0000 (multiplicity 4)  4 Nb 2.67, 4 Ga 2.67
Nb: 0.2500 0.2500 0.7500 (multiplicity 4)  4 Li 2.67, 4 Os 2.67
Ga: 0.2500 0.2500 0.2500 (multiplicity 4)  4 Li 2.67, 4 Os 2.67
Os: 0.0000 0.0000 0.5000 (multiplicity 4)  4 Nb 2.67, 4 Ga 2.67

***

# 3
Below is a relaxed structure of LiNbGaOs, with properties calculated at the PBE-GGA level.

Output
- Polymorph energy (0 for the lowest one): 415 meV/atom

a = 6.1238 Å, b = 6.1238 Å, c = 6.1238 Å
α = 90.00°, β = 90.00°, γ = 90.00°
Last column: nearest neighbours and their distance in Å.
Space group F-43m (No. 216)
Inequivalent atoms, fractional coordinates:
Li: 0.0000 0.0000 0.0000 (multiplicity 4)  4 Nb 2.65, 4 Os 2.65
Nb: 0.2500 0.2500 0.2500 (multiplicity 4)  4 Li 2.65, 4 Ga 2.65
Ga: 0.0000 0.0000 0.5000 (multiplicity 4)  4 Nb 2.65, 4 Os 2.65
Os: 0.2500 0.2500 0.7500 (multiplicity 4)  4 Li 2.65, 4 Ga 2.65

***

# 4
Below is a relaxed structure of Li2Nb2Ga2OsPd, with properties calculated at the PBE-GGA level.

Output
- E: -49.4 eV per formula unit

a = 4.3644 Å, b = 4.3644 Å, c = 6.1861 Å
α = 90.00°, β = 90.00°, γ = 90.00°
Last column: nearest neighbours and their distance in Å.
Space group P-4m2 (No. 115)
Inequivalent atoms, fractional coordinates:
Li: 0.0000 0.0000 0.0000 (multiplicity 1)  4 Nb 2.66, 4 Ga 2.67
Li: 0.5000 0.5000 0.5000 (multiplicity 1)  4 Ga 2.68, 4 Nb 2.69
Nb: 0.0000 0.5000 0.2453 (multiplicity 2)  2 Os 2.66, 4 Li 2.66-2.69, 2 Pd 2.69
Ga: 0.0000 0.5000 0.7515 (multiplicity 2)  2 Os 2.67, 4 Li 2.67-2.68, 2 Pd 2.68
Os: 0.5000 0.5000 0.0000 (multiplicity 1)  4 Nb 2.66, 4 Ga 2.67
Pd: 0.0000 0.0000 0.5000 (multiplicity 1)  4 Ga 2.68, 4 Nb 2.69

***

# 5
Below is a relaxed structure of Li2Nb2Ga2OsPt, with properties calculated at the PBE-GGA level.

Output
- E: -51.1 eV per formula unit

a = 4.3690 Å, b = 4.3690 Å, c = 6.1910 Å
α = 90.00°, β = 90.00°, γ = 90.00°
Last column: nearest neighbours and their distance in Å.
Space group P-4m2 (No. 115)
Inequivalent atoms, fractional coordinates:
Li: 0.0000 0.0000 0.0000 (multiplicity 1)  4 Nb 2.66, 4 Ga 2.66
Li: 0.5000 0.5000 0.5000 (multiplicity 1)  4 Ga 2.69, 4 Nb 2.69
Nb: 0.0000 0.5000 0.2460 (multiplicity 2)  4 Li 2.66-2.69, 2 Os 2.66, 2 Pt 2.69
Ga: 0.0000 0.5000 0.7540 (multiplicity 2)  4 Li 2.66-2.69, 2 Os 2.66, 2 Pt 2.69
Os: 0.5000 0.5000 0.0000 (multiplicity 1)  4 Nb 2.66, 4 Ga 2.66
Pt: 0.0000 0.0000 0.5000 (multiplicity 1)  4 Ga 2.69, 4 Nb 2.69

***

# 6
Below is a relaxed structure of Li2Nb2GaSiOs2, with properties calculated at the PBE-GGA level.

Output
- E: -57.9 eV per formula unit

a = 4.3289 Å, b = 4.3289 Å, c = 6.1200 Å
α = 90.00°, β = 90.00°, γ = 90.00°
Last column: nearest neighbours and their distance in Å.
Space group P-4m2 (No. 115)
Inequivalent atoms, fractional coordinates:
Li: 0.0000 0.5000 0.2498 (multiplicity 2)  4 Nb 2.65, 2 Si 2.65, 2 Ga 2.65
Nb: 0.0000 0.0000 0.0000 (multiplicity 1)  4 Os 2.62, 4 Li 2.65
Nb: 0.5000 0.5000 0.5000 (multiplicity 1)  4 Li 2.65, 4 Os 2.68
Ga: 0.0000 0.0000 0.5000 (multiplicity 1)  4 Li 2.65, 4 Os 2.68
Si: 0.5000 0.5000 0.0000 (multiplicity 1)  4 Os 2.62, 4 Li 2.65
Os: 0.0000 0.5000 0.7578 (multiplicity 2)  4 Nb 2.62-2.68, 2 Si 2.62, 2 Ga 2.68

***

# 7
Below is a relaxed structure of Li2TaNbGa2Os2, with properties calculated at the PBE-GGA level.

Output
- E: -56.5 eV per formula unit

a = 4.3611 Å, b = 4.3611 Å, c = 6.1661 Å
α = 90.00°, β = 90.00°, γ = 90.00°
Last column: nearest neighbours and their distance in Å.
Space group P-4m2 (No. 115)
Inequivalent atoms, fractional coordinates:
Li: 0.0000 0.5000 0.2498 (multiplicity 2)  2 Nb 2.67, 4 Ga 2.67, 2 Ta 2.67
Ta: 0.0000 0.0000 0.5000 (multiplicity 1)  4 Os 2.67, 4 Li 2.67
Nb: 0.5000 0.5000 0.0000 (multiplicity 1)  4 Li 2.67, 4 Os 2.67
Ga: 0.0000 0.0000 0.0000 (multiplicity 1)  4 Li 2.67, 4 Os 2.67
Ga: 0.5000 0.5000 0.5000 (multiplicity 1)  4 Os 2.67, 4 Li 2.67
Os: 0.0000 0.5000 0.7488 (multiplicity 2)  2 Ta 2.67, 4 Ga 2.67, 2 Nb 2.67

***

# 8
Below is a relaxed structure of Li2TaNbGa2Pt2, with properties calculated at the PBE-GGA level.

Output
- E: -46.9 eV per formula unit

a = 4.4117 Å, b = 4.4117 Å, c = 6.2407 Å
α = 90.00°, β = 90.00°, γ = 90.00°
Last column: nearest neighbours and their distance in Å.
Space group P-4m2 (No. 115)
Inequivalent atoms, fractional coordinates:
Li: 0.0000 0.5000 0.2477 (multiplicity 2)  2 Nb 2.69, 4 Ga 2.69-2.71, 2 Ta 2.71, 1 Pt 3.01
Ta: 0.5000 0.5000 0.5000 (multiplicity 1)  4 Pt 2.63, 4 Li 2.71
Nb: 0.0000 0.0000 0.0000 (multiplicity 1)  4 Li 2.69, 4 Pt 2.77
Ga: 0.0000 0.0000 0.5000 (multiplicity 1)  4 Pt 2.63, 4 Li 2.71
Ga: 0.5000 0.5000 0.0000 (multiplicity 1)  4 Li 2.69, 4 Pt 2.77
Pt: 0.0000 0.5000 0.7305 (multiplicity 2)  2 Ta 2.63, 4 Ga 2.63-2.77, 2 Nb 2.77

***

# 9
Below is a relaxed structure of Li2ZrNbGa2Pt2, with properties calculated at the PBE-GGA level.

Output
- E: -45.5 eV per formula unit

a = 4.4297 Å, b = 4.4297 Å, c = 6.3433 Å
α = 90.00°, β = 90.00°, γ = 90.00°
Last column: nearest neighbours and their distance in Å.
Space group P-4m2 (No. 115)
Inequivalent atoms, fractional coordinates:
Li: 0.0000 0.5000 0.2419 (multiplicity 2)  2 Nb 2.69, 4 Ga 2.69-2.75, 2 Zr 2.75
Zr: 0.5000 0.5000 0.5000 (multiplicity 1)  4 Pt 2.74, 4 Li 2.75
Nb: 0.0000 0.0000 0.0000 (multiplicity 1)  4 Li 2.69, 4 Pt 2.71
Ga: 0.0000 0.0000 0.5000 (multiplicity 1)  4 Pt 2.74, 4 Li 2.75
Ga: 0.5000 0.5000 0.0000 (multiplicity 1)  4 Li 2.69, 4 Pt 2.71
Pt: 0.0000 0.5000 0.7530 (multiplicity 2)  2 Nb 2.71, 4 Ga 2.71-2.74, 2 Zr 2.74

***

# 10
Below is a relaxed structure of LiGaNi2, with properties calculated at the PBE-GGA level.

Output
- E: -17.0 eV per formula unit

a = 4.0273 Å, b = 4.0273 Å, c = 7.1203 Å
α = 90.00°, β = 90.00°, γ = 120.00°
Last column: nearest neighbours and their distance in Å.
Space group P6_3/mmc (No. 194)
Inequivalent atoms, fractional coordinates:
Li: 0.0000 0.0000 0.0000 (multiplicity 2)  6 Ni 2.41
Ga: 0.3333 0.6667 0.2500 (multiplicity 2)  8 Ni 2.40-2.60
Ni: 0.3333 0.6667 0.5866 (multiplicity 4)  1 Ni 2.33, 4 Ga 2.40-2.60, 3 Li 2.41

***

# 11
Below is a relaxed structure of LiGaNi2, with properties calculated at the PBE-GGA level.

Output
- E: -17.4 eV per formula unit

a = 4.0291 Å, b = 4.0291 Å, c = 5.6737 Å
α = 90.00°, β = 90.00°, γ = 90.00°
Last column: nearest neighbours and their distance in Å.
Space group I4/mmm (No. 139)
Inequivalent atoms, fractional coordinates:
Li: 0.0000 0.0000 0.0000 (multiplicity 2)  8 Ni 2.46
Ga: 0.0000 0.0000 0.5000 (multiplicity 2)  8 Ni 2.46
Ni: 0.0000 0.5000 0.2500 (multiplicity 4)  4 Li 2.46, 4 Ga 2.46